Record 1
Density functional theory data (PBE-GGA) for crystalline ZnCu2GeS4 at its relaxed geometry.

Unit cell a=6.5119 b=6.5119 c=6.5119 alpha=131.36 beta=131.36 gamma=71.25
Element x y z (fractional)
1 Zn 0.0000 0.0000 0.0000
2 Cu 0.5000 0.5000 0.0000
3 Cu 0.7500 0.2500 0.5000
4 Ge 0.2500 0.7500 0.5000
5 S 0.1308 0.6223 0.0067
6 S 0.3777 0.3844 0.5084
7 S 0.6156 0.1240 0.9933
8 S 0.8760 0.8692 0.4916

Calculated values
Polymorph energy (0 for the lowest one), eV/atom: 0.0000
Energy, eV/atom: -4.187

Record 2
Density functional theory data (PBE-GGA) for crystalline HoReW at its relaxed geometry.

Unit cell a=4.4738 b=4.4738 c=4.4738 alpha=60.00 beta=60.00 gamma=60.00
Element x y z (fractional)
1 Ho 0.0000 0.0000 0.0000
2 Re 0.5000 0.5000 0.5000
3 W 0.2500 0.2500 0.2500

Calculated values
Magnetic moment, μB per atom: 0.0012
DFT formation energy, kJ/mol of formula units: 220
Energy, eV/atom: -9.226

Record 3
Density functional theory data (PBE-GGA) for crystalline Zr2Mo4S3N3 at its relaxed geometry.

Unit cell a=5.6408 b=5.6408 c=12.2212 alpha=103.45 beta=103.45 gamma=60.72
Element x y z (fractional)
1 Zr 0.0398 0.8465 0.6046
2 Zr 0.1535 0.9602 0.8954
3 Zr 0.8465 0.0398 0.1046
4 Zr 0.9602 0.1535 0.3954
5 Mo 0.2394 0.3851 0.0975
6 Mo 0.3378 0.4549 0.4080
7 Mo 0.3851 0.2394 0.5975
8 Mo 0.4549 0.3378 0.9080
9 Mo 0.5451 0.6622 0.0920
10 Mo 0.6149 0.7606 0.4025
11 Mo 0.6622 0.5451 0.5920
12 Mo 0.7606 0.6149 0.9025
13 S 0.0682 0.2851 0.7514
14 S 0.2851 0.0682 0.2514
15 S 0.4327 0.5673 0.7500
16 S 0.5673 0.4327 0.2500
17 S 0.7149 0.9318 0.7486
18 S 0.9318 0.7149 0.2486
19 N 0.0000 0.5000 0.5000
20 N 0.1563 0.6805 0.9983
21 N 0.3195 0.8437 0.5017
22 N 0.5000 0.0000 0.0000
23 N 0.6805 0.1563 0.4983
24 N 0.8437 0.3195 0.0017

Calculated values
Magnetic moment, μB per atom: 0.0006
Energy, eV/atom: -8.822

Record 4
Density functional theory data (PBE-GGA) for crystalline Zr3InSb5 at its relaxed geometry.

Unit cell a=6.3746 b=6.3746 c=7.2865 alpha=90.00 beta=90.00 gamma=120.00
Element x y z (fractional)
1 Zr 0.0000 0.5000 0.0000
2 Zr 0.5000 0.0000 0.0000
3 Zr 0.5000 0.5000 0.0000
4 In 0.0000 0.0000 0.5000
5 Sb 0.0000 0.0000 0.0000
6 Sb 0.3333 0.6667 0.3060
7 Sb 0.3333 0.6667 0.6940
8 Sb 0.6667 0.3333 0.3060
9 Sb 0.6667 0.3333 0.6940

Calculated values
Magnetic moment, μB per atom: 0.0002
Energy, eV/atom: -5.690

Record 5
Density functional theory data (PBE-GGA) for crystalline Nb2Bi at its relaxed geometry.

Unit cell a=9.1658 b=9.1658 c=9.1658 alpha=60.00 beta=60.00 gamma=60.00
Element x y z (fractional)
1 Nb 0.0000 0.0000 0.0000
2 Nb 0.0000 0.0000 0.5000
3 Nb 0.0000 0.5000 0.0000
4 Nb 0.5000 0.0000 0.0000
5 Bi 0.1250 0.1250 0.1250
6 Bi 0.8750 0.8750 0.8750

Calculated values
Magnetic moment, μB per atom: 2.3332
Energy, eV/atom: -5.010

Record 6
Density functional theory data (PBE-GGA) for crystalline TbSbN2O at its relaxed geometry.

Unit cell a=3.6878 b=3.7464 c=5.0265 alpha=90.00 beta=90.03 gamma=90.00
Element x y z (fractional)
1 Tb 0.0000 0.0000 0.0000
2 Sb 0.4999 0.5000 0.4570
3 N 0.9998 0.5000 0.2910
4 N 0.4980 0.5000 0.8473
5 O 0.5001 0.0000 0.2901

Calculated values
Magnetic moment, μB per atom: 0.0001
Energy, eV/atom: -6.923

Question: energy of number 4 (Zr3InSb5)?
Answer: -5.690 eV/atom